1.
This record from Alexandria describes an optimized crystal structure of Zr2NiHIr6. The functional is PBE.

abc: 8.9762 5.5464 6.8152
angles: 90.00 116.75 90.00
Closest atoms and distances in Å follow each position.
Space group C2/m (No. 12)
One atom of each set of equivalent atoms:
Zr  0.2485  0.0000  0.1632 [4 per cell]  7 Ir 2.75-2.94, 1 Ni 2.93
Ni  0.0000  0.5000  0.0000 [2 per cell]  6 Ir 2.42-2.55
H  0.0000  0.0000  0.5000 [2 per cell]  6 Ir 1.84-2.04
Ir  0.0756  0.2584  0.3509 [8 per cell]  1 H 2.04
Ir  0.2080  0.0000  0.7381 [4 per cell]  1 H 1.84

Summary:
The density of states at the Fermi level is 0.72 states/eV per atom.



2.
This record from Alexandria describes an optimized crystal structure of Mg2Si2As. The functional is PBE.

abc: 6.8577 6.8577 3.9902
angles: 90.00 90.00 90.00
Closest atoms and distances in Å follow each position.
Space group P4/mbm (No. 127)
One atom of each set of equivalent atoms:
Mg  0.1777  0.3223  0.0000 [4 per cell]  6 Si 2.79-2.89
Si  0.1220  0.6220  0.5000 [4 per cell]  1 Si 2.37
As  0.0000  0.0000  0.5000 [2 per cell]  4 Si 2.72

Summary:
The density of states at the Fermi level is 0.31 states/eV per atom.



3.
This record from Alexandria describes an optimized crystal structure of AgPd2Pt3. The functional is PBE.

abc: 2.7909 2.7909 12.1971
angles: 90.00 90.00 90.00
Closest atoms and distances in Å follow each position.
Space group P4/mmm (No. 123)
One atom of each set of equivalent atoms:
Ag  0.0000  0.0000  0.0000 [1 per cell]  4 Ag 2.79, 8 Pt 2.91
Pd  0.0000  0.0000  0.3374 [2 per cell]  4 Pd 2.79, 8 Pt 2.79-2.80
Pt  0.5000  0.5000  0.1753 [2 per cell]  4 Pt 2.79, 4 Pd 2.79, 4 Ag 2.91
Pt  0.5000  0.5000  0.5000 [1 per cell]  4 Pt 2.79, 8 Pd 2.80

Summary:
The density of states at the Fermi level is 1.85 states/eV per atom. For the formation energy from the elements, the calculation gives -7 meV/atom.



4.
This record from Alexandria describes an optimized crystal structure of Pd2RuPtI. The functional is PBE.

abc: 4.9207 4.9207 4.7507
angles: 90.00 90.00 90.00
Closest atoms and distances in Å follow each position.
Space group P4/mmm (No. 123)
One atom of each set of equivalent atoms:
Pd  0.0000  0.5000  0.0000 [2 per cell]  2 Ru 2.46
Ru  0.0000  0.0000  0.0000 [1 per cell]  2 Pt 2.38, 4 Pd 2.46
Pt  0.0000  0.0000  0.5000 [1 per cell]  2 Ru 2.38
I  0.5000  0.5000  0.5000 [1 per cell]  8 Pd 3.42, 4 Pt 3.48

Summary:
The density of states at the Fermi level is 1.57 states/eV per atom.



Number 1: final energy -8.231 eV per atom. Number 2: final energy -3.691 eV per atom. Number 3: final energy -5.234 eV per atom. Number 4: final energy -4.328 eV per atom.